1.
{
  "formula": "Ti2Fe2Pt",
  "functional": "PBE",
  "state": "relaxed",
  "lattice": [[6.591, 0.000, 0.000], [0.000, 6.591, 0.000], [0.000, 0.000, 3.167]],
  "species": ["Ti", "Ti", "Ti", "Ti", "Fe", "Fe", "Fe", "Fe", "Pt", "Pt"],
  "fractional_positions": [[0.190, 0.310, 0.000], [0.310, 0.810, 0.000], [0.690, 0.190, 0.000], [0.810, 0.690, 0.000], [0.117, 0.617, 0.500], [0.383, 0.117, 0.500], [0.617, 0.883, 0.500], [0.883, 0.383, 0.500], [0.000, 0.000, 0.500], [0.500, 0.500, 0.500]],
  "rho_g_cm3": 9.7,
  "magmom_total_mub_per_fu": 0.0,
  "de_polymorph_mev_per_atom": 0,
  "e_form_kcal_per_mol_atoms": -8.53
}



2.
{
  "formula": "Ti2Fe2Pt",
  "functional": "PBE",
  "state": "relaxed",
  "lattice": [[3.263, 0.000, 0.000], [0.000, 3.263, 0.000], [0.000, 0.000, 14.207]],
  "species": ["Ti", "Ti", "Ti", "Ti", "Fe", "Fe", "Fe", "Fe", "Pt", "Pt"],
  "fractional_positions": [[0.000, 0.000, 0.110], [0.000, 0.000, 0.890], [0.500, 0.500, 0.390], [0.500, 0.500, 0.610], [0.000, 0.500, 0.250], [0.000, 0.500, 0.750], [0.500, 0.000, 0.250], [0.500, 0.000, 0.750], [0.000, 0.000, 0.500], [0.500, 0.500, 0.000]],
  "rho_g_cm3": 8.8,
  "magmom_total_mub_per_fu": 2.6,
  "de_polymorph_mev_per_atom": 248,
  "e_form_kcal_per_mol_atoms": -2.80
}



3.
{
  "formula": "Ti5FePt",
  "functional": "PBE",
  "state": "relaxed",
  "lattice": [[3.573, -3.134, 0.000], [3.573, 3.134, 0.000], [-2.306, 0.000, 10.041]],
  "species": ["Ti", "Ti", "Ti", "Ti", "Ti", "Ti", "Ti", "Ti", "Ti", "Ti", "Fe", "Fe", "Pt", "Pt"],
  "fractional_positions": [[0.014, 0.986, 0.750], [0.071, 0.427, 0.620], [0.214, 0.505, 0.929], [0.427, 0.071, 0.120], [0.495, 0.786, 0.571], [0.505, 0.214, 0.429], [0.573, 0.929, 0.880], [0.786, 0.495, 0.071], [0.929, 0.573, 0.380], [0.986, 0.014, 0.250], [0.000, 0.000, 0.000], [0.000, 0.000, 0.500], [0.417, 0.583, 0.250], [0.583, 0.417, 0.750]],
  "rho_g_cm3": 7.2,
  "magmom_total_mub_per_fu": 0.0,
  "e_form_kcal_per_mol_atoms": -4.99
}



4.
{
  "formula": "TiFe4Pt",
  "functional": "PBE",
  "state": "relaxed",
  "lattice": [[0.000, 3.368, 3.368], [3.368, 0.000, 3.368], [3.368, 3.368, 0.000]],
  "species": ["Ti", "Fe", "Fe", "Fe", "Fe", "Pt"],
  "fractional_positions": [[0.000, 0.000, 0.000], [0.374, 0.374, 0.374], [0.374, 0.374, 0.877], [0.374, 0.877, 0.374], [0.877, 0.374, 0.374], [0.750, 0.750, 0.750]],
  "rho_g_cm3": 10.1,
  "magmom_total_mub_per_fu": 7.7,
  "e_form_kcal_per_mol_atoms": -6.18
}



5.
{
  "formula": "TiFePt3",
  "functional": "PBE",
  "state": "relaxed",
  "lattice": [[4.562, 0.000, 0.000], [0.000, 4.562, 0.000], [0.000, 0.000, 4.562]],
  "species": ["Ti", "Fe", "Pt", "Pt", "Pt"],
  "fractional_positions": [[0.000, 0.000, 0.000], [0.500, 0.500, 0.500], [0.000, 0.500, 0.500], [0.500, 0.000, 0.500], [0.500, 0.500, 0.000]],
  "rho_g_cm3": 12.0,
  "magmom_total_mub_per_fu": 3.3,
  "de_polymorph_mev_per_atom": 1257,
  "e_form_kcal_per_mol_atoms": 14.81
}



6.
{
  "formula": "TiFe2Pt",
  "functional": "PBE",
  "state": "relaxed",
  "lattice": [[6.042, 0.000, 0.000], [0.000, 6.042, 0.000], [0.000, 0.000, 6.042]],
  "species": ["Ti", "Ti", "Ti", "Ti", "Fe", "Fe", "Fe", "Fe", "Fe", "Fe", "Fe", "Fe", "Pt", "Pt", "Pt", "Pt"],
  "fractional_positions": [[0.000, 0.000, 0.000], [0.000, 0.500, 0.500], [0.500, 0.000, 0.500], [0.500, 0.500, 0.000], [0.250, 0.250, 0.250], [0.250, 0.250, 0.750], [0.250, 0.750, 0.250], [0.250, 0.750, 0.750], [0.750, 0.250, 0.250], [0.750, 0.250, 0.750], [0.750, 0.750, 0.250], [0.750, 0.750, 0.750], [0.000, 0.000, 0.500], [0.000, 0.500, 0.000], [0.500, 0.000, 0.000], [0.500, 0.500, 0.500]],
  "rho_g_cm3": 10.7,
  "magmom_total_mub_per_fu": 4.3,
  "e_form_kcal_per_mol_atoms": -6.97
}



7.
{
  "formula": "Ti5Fe4Pt",
  "functional": "PBE",
  "state": "relaxed",
  "lattice": [[2.918, 0.000, 0.000], [0.000, 2.918, 0.000], [0.000, 0.000, 15.807]],
  "species": ["Ti", "Ti", "Ti", "Ti", "Ti", "Fe", "Fe", "Fe", "Fe", "Pt"],
  "fractional_positions": [[0.000, 0.000, 0.000], [0.000, 0.000, 0.188], [0.000, 0.000, 0.379], [0.000, 0.000, 0.621], [0.000, 0.000, 0.812], [0.500, 0.500, 0.094], [0.500, 0.500, 0.283], [0.500, 0.500, 0.717], [0.500, 0.500, 0.906], [0.500, 0.500, 0.500]],
  "rho_g_cm3": 8.1,
  "magmom_total_mub_per_fu": 0.0,
  "e_form_kcal_per_mol_atoms": -11.30
}



8.
{
  "formula": "TiZnFePt",
  "functional": "PBE",
  "state": "relaxed",
  "lattice": [[6.032, 0.000, 0.000], [0.000, 6.032, 0.000], [0.000, 0.000, 6.032]],
  "species": ["Ti", "Ti", "Ti", "Ti", "Zn", "Zn", "Zn", "Zn", "Fe", "Fe", "Fe", "Fe", "Pt", "Pt", "Pt", "Pt"],
  "fractional_positions": [[0.000, 0.000, 0.000], [0.000, 0.500, 0.500], [0.500, 0.000, 0.500], [0.500, 0.500, 0.000], [0.000, 0.000, 0.500], [0.000, 0.500, 0.000], [0.500, 0.000, 0.000], [0.500, 0.500, 0.500], [0.250, 0.250, 0.250], [0.250, 0.750, 0.750], [0.750, 0.250, 0.750], [0.750, 0.750, 0.250], [0.250, 0.250, 0.750], [0.250, 0.750, 0.250], [0.750, 0.250, 0.250], [0.750, 0.750, 0.750]],
  "rho_g_cm3": 11.0,
  "magmom_total_mub_per_fu": 0.0,
  "e_form_kcal_per_mol_atoms": -11.19
}



9.
{
  "formula": "ZrTiFePt",
  "functional": "PBE",
  "state": "relaxed",
  "lattice": [[6.400, 0.000, 0.000], [0.000, 6.400, 0.000], [0.000, 0.000, 6.400]],
  "species": ["Zr", "Zr", "Zr", "Zr", "Ti", "Ti", "Ti", "Ti", "Fe", "Fe", "Fe", "Fe", "Pt", "Pt", "Pt", "Pt"],
  "fractional_positions": [[0.000, 0.000, 0.000], [0.000, 0.500, 0.500], [0.500, 0.000, 0.500], [0.500, 0.500, 0.000], [0.000, 0.000, 0.500], [0.000, 0.500, 0.000], [0.500, 0.000, 0.000], [0.500, 0.500, 0.500], [0.250, 0.250, 0.250], [0.250, 0.750, 0.750], [0.750, 0.250, 0.750], [0.750, 0.750, 0.250], [0.250, 0.250, 0.750], [0.250, 0.750, 0.250], [0.750, 0.250, 0.250], [0.750, 0.750, 0.750]],
  "rho_g_cm3": 9.9,
  "magmom_total_mub_per_fu": 1.0,
  "e_form_kcal_per_mol_atoms": -11.92
}



10.
{
  "formula": "Tl2FePt",
  "functional": "PBE",
  "state": "relaxed",
  "lattice": [[3.102, 0.000, 0.000], [0.000, 4.385, 0.000], [-0.561, 0.000, 5.854]],
  "species": ["Tl", "Tl", "Fe", "Pt"],
  "fractional_positions": [[0.246, 0.000, 0.245], [0.754, 0.000, 0.755], [0.500, 0.500, 0.000], [0.000, 0.500, 0.500]],
  "rho_g_cm3": 13.8,
  "magmom_total_mub_per_fu": 2.8,
  "e_form_kcal_per_mol_atoms": 10.47
}



11.
{
  "formula": "Tl2FePt",
  "functional": "PBE",
  "state": "relaxed",
  "lattice": [[4.119, 0.000, 0.000], [0.000, 4.119, 0.000], [0.000, 0.000, 9.165]],
  "species": ["Tl", "Tl", "Tl", "Tl", "Fe", "Fe", "Pt", "Pt"],
  "fractional_positions": [[0.000, 0.000, 0.000], [0.000, 0.500, 0.250], [0.500, 0.000, 0.750], [0.500, 0.500, 0.500], [0.000, 0.500, 0.750], [0.500, 0.000, 0.250], [0.000, 0.000, 0.500], [0.500, 0.500, 0.000]],
  "rho_g_cm3": 14.1,
  "magmom_total_mub_per_fu": 2.7,
  "e_form_kcal_per_mol_atoms": 9.64
}



12.
{
  "formula": "TlFePt2",
  "functional": "PBE",
  "state": "relaxed",
  "lattice": [[9.306, 0.000, 0.000], [0.000, 2.917, 0.000], [-0.933, 0.000, 4.980]],
  "species": ["Tl", "Tl", "Fe", "Fe", "Pt", "Pt", "Pt", "Pt"],
  "fractional_positions": [[0.000, 0.000, 0.000], [0.500, 0.500, 0.000], [0.253, 0.500, 0.312], [0.753, 0.000, 0.312], [0.245, 0.000, 0.761], [0.492, 0.000, 0.482], [0.745, 0.500, 0.761], [0.992, 0.500, 0.482]],
  "rho_g_cm3": 16.0,
  "magmom_total_mub_per_fu": 3.3,
  "e_form_kcal_per_mol_atoms": 2.38
}



13.
{
  "formula": "TlFePt",
  "functional": "PBE",
  "state": "relaxed",
  "lattice": [[6.246, 0.000, 0.000], [0.000, 6.246, 0.000], [0.000, 0.000, 6.246]],
  "species": ["Tl", "Tl", "Tl", "Tl", "Fe", "Fe", "Fe", "Fe", "Pt", "Pt", "Pt", "Pt"],
  "fractional_positions": [[0.000, 0.000, 0.000], [0.000, 0.500, 0.500], [0.500, 0.000, 0.500], [0.500, 0.500, 0.000], [0.000, 0.000, 0.500], [0.000, 0.500, 0.000], [0.500, 0.000, 0.000], [0.500, 0.500, 0.500], [0.250, 0.250, 0.750], [0.250, 0.750, 0.250], [0.750, 0.250, 0.250], [0.750, 0.750, 0.750]],
  "rho_g_cm3": 12.4,
  "magmom_total_mub_per_fu": 3.0,
  "de_polymorph_mev_per_atom": 11,
  "e_form_kcal_per_mol_atoms": 5.37
}



14.
{
  "formula": "Tl2FePt",
  "functional": "PBE",
  "state": "relaxed",
  "lattice": [[3.887, 0.000, 0.000], [0.000, 4.203, 0.000], [-1.933, 0.000, 5.159]],
  "species": ["Tl", "Tl", "Fe", "Pt"],
  "fractional_positions": [[0.000, 0.000, 0.000], [0.307, 0.500, 0.618], [0.582, 0.500, 0.169], [0.714, 0.000, 0.431]],
  "rho_g_cm3": 13.0,
  "magmom_total_mub_per_fu": 2.9,
  "e_form_kcal_per_mol_atoms": 6.06
}